# 1
! K2AlTlSi PBE optimized geometry; values from VASP
&SYSTEM
  ibrav = 0, nat = 5, ntyp = 4
/
ATOMIC_SPECIES
Al 26.98 Al.upf
K 39.10 K.upf
Tl 204.38 Tl.upf
Si 28.09 Si.upf
ATOMIC_POSITIONS angstrom
Al 0.000 0.000 0.000
K 3.279 0.000 0.000
K 0.000 3.279 0.000
Tl 3.279 3.279 2.318
Si 0.000 0.000 2.318
CELL_PARAMETERS angstrom
6.559 0.000 0.000
0.000 6.559 0.000
0.000 0.000 4.635
! Magnetization: 0.00 μB/atom
! ΔE_f (raw): 0.399 eV per atom



# 2
! K3Sm3AlTe8 PBE optimized geometry; values from VASP
&SYSTEM
  ibrav = 0, nat = 15, ntyp = 4
/
ATOMIC_SPECIES
Te 127.60 Te.upf
Al 26.98 Al.upf
K 39.10 K.upf
Sm 150.36 Sm.upf
ATOMIC_POSITIONS angstrom
Te -2.666 -1.769 6.821
Te -1.102 2.354 7.084
Te 0.417 2.056 2.887
Te -4.061 0.930 4.045
Te 1.811 -0.643 5.663
Te 0.364 -5.175 5.465
Te -2.614 5.462 4.244
Te -1.147 -2.066 2.625
Al 3.024 1.185 3.783
K 0.000 0.000 0.000
K -4.149 -1.042 1.072
K -1.340 -4.198 -0.184
Sm 1.684 -3.012 3.598
Sm -1.125 0.144 4.854
Sm 0.215 4.341 5.039
CELL_PARAMETERS angstrom
-5.617 6.312 2.512
-2.680 -8.396 -0.369
6.048 2.371 7.565
! Magnetization: 0.00 μB/atom
! ΔE_f (raw): -1.109 eV per atom



# 3
! K4Sm3AlTe8 PBE optimized geometry; values from VASP
&SYSTEM
  ibrav = 0, nat = 16, ntyp = 4
/
ATOMIC_SPECIES
Te 127.60 Te.upf
K 39.10 K.upf
Al 26.98 Al.upf
Sm 150.36 Sm.upf
ATOMIC_POSITIONS angstrom
Te 6.907 2.815 0.283
Te 4.498 0.409 3.687
Te 4.498 4.817 3.398
Te -2.409 2.425 6.592
Te 2.409 2.425 6.592
Te 2.089 2.815 0.283
Te 0.000 0.423 3.477
Te 0.000 4.831 3.188
K 2.249 -2.247 3.184
K 0.000 0.000 0.000
K -2.249 -2.247 3.184
K 4.498 0.000 0.000
Al 0.000 4.867 0.254
Sm 2.249 2.620 3.437
Sm 4.498 4.867 0.254
Sm -2.249 2.620 3.437
CELL_PARAMETERS angstrom
8.996 0.000 0.000
0.000 9.733 0.508
-4.498 -4.493 6.367
! Magnetization: 0.00 μB/atom
! ΔE_f (raw): -1.187 eV per atom



# 4
! KAlSn PBE optimized geometry; values from VASP
&SYSTEM
  ibrav = 0, nat = 6, ntyp = 3
/
ATOMIC_SPECIES
K 39.10 K.upf
Sn 118.71 Sn.upf
Al 26.98 Al.upf
ATOMIC_POSITIONS angstrom
K 15.772 2.158 -2.271
K 7.367 2.158 -2.008
Sn 12.478 2.158 0.897
Sn 6.670 2.158 1.527
Al 11.023 2.158 -1.506
Al 4.203 2.158 -0.019
CELL_PARAMETERS angstrom
14.521 0.000 0.016
6.298 2.158 -3.014
-6.298 2.158 3.014
! Magnetization: 0.00 μB/atom
! Formation energy from the elements: -0.34 kcal/mol of atoms



# 5
! KAlSn PBE optimized geometry; values from VASP
&SYSTEM
  ibrav = 0, nat = 6, ntyp = 3
/
ATOMIC_SPECIES
Sn 118.71 Sn.upf
Al 26.98 Al.upf
K 39.10 K.upf
ATOMIC_POSITIONS angstrom
Sn -2.350 -4.164 1.721
Sn 0.000 0.000 0.000
Al -1.175 -2.082 0.861
Al -3.525 -6.246 2.582
K -6.264 -4.257 3.655
K -3.889 -1.461 -1.343
CELL_PARAMETERS angstrom
-2.763 3.357 4.349
-2.690 -0.747 -5.480
-4.701 -8.328 3.442
! Magnetization: 0.00 μB/atom
! Formation energy from the elements: 11.45 kcal/mol of atoms



# 6
! KAlSn PBE optimized geometry; values from VASP
&SYSTEM
  ibrav = 0, nat = 6, ntyp = 3
/
ATOMIC_SPECIES
Sn 118.71 Sn.upf
K 39.10 K.upf
Al 26.98 Al.upf
ATOMIC_POSITIONS angstrom
Sn 2.509 0.000 0.000
Sn 0.000 2.509 0.000
K 5.017 5.017 5.241
K 2.509 2.509 2.731
Al 5.017 5.017 1.492
Al 2.509 2.509 6.480
CELL_PARAMETERS angstrom
5.017 0.000 0.000
0.000 5.017 0.000
2.509 2.509 7.972
! Magnetization: 0.00 μB/atom
! Formation energy from the elements: 0.35 kcal/mol of atoms